4
Lattice="0.000 3.244 3.244 3.244 0.000 3.244 3.244 3.244 0.000" Properties=species:S:1:pos:R:3 comment="NbTlOs2, optimized geometry, DFT PBE-GGA" e_tot_ev_per_cell=-31.8 pbc="T T T"
Nb 0.000 0.000 0.000
Tl 4.866 4.866 4.866
Os 1.622 1.622 1.622
Os 3.244 3.244 3.244